No. 1
A relaxed YTm3Sc6 crystal, computed with PBE.

abc: 5.824 10.357 10.357
angles: 119.48 90.00 90.00
Fractional positions:
Sc (0.925, 0.046, 0.954)
Sc (0.360, 0.033, 0.461)
Sc (0.860, 0.967, 0.539)
Sc (0.521, 0.282, 0.385)
Sc (0.021, 0.385, 0.282)
Sc (0.139, 0.714, 0.286)
Sc (0.639, 0.286, 0.714)
Sc (0.521, 0.615, 0.718)
Sc (0.021, 0.718, 0.615)
Sc (0.860, 0.461, 0.033)
Sc (0.360, 0.539, 0.967)
Sc (0.425, 0.954, 0.046)
Y (0.657, 0.791, 0.209)
Y (0.157, 0.209, 0.791)
Tm (0.064, 0.395, 0.605)
Tm (0.969, 0.720, 0.930)
Tm (0.469, 0.930, 0.720)
Tm (0.469, 0.280, 0.070)
Tm (0.564, 0.605, 0.395)
Tm (0.969, 0.070, 0.280)

***

No. 2
A relaxed Ce2ThSn crystal, computed with PBE.

abc: 5.447 5.447 5.447
angles: 60.00 60.00 60.00
Fractional positions:
Sn (0.500, 0.500, 0.500)
Ce (0.250, 0.250, 0.250)
Ce (0.750, 0.750, 0.750)
Th (0.000, 0.000, 0.000)

***

| no. | total moment (μB/atom) | E_form (kJ per mole of atoms) |
| --- | --- | --- |
| 1 | 0.013 | 15.75 |
| 2 | 0.487 | -14.08 |